[1]
The following is a PBE-GGA calculation of Y3PaIr4 after structural relaxation, from the Alexandria database.

Results
Formation enthalpy at 0 K, eV/atom: -0.780

Cell: 4.8951 4.8951 13.7876 Å, 90.00 90.00 90.00°
With the nearest neighbours (Å) after each atom.
Fractional coordinates of all 16 atoms:
Y 0.0000 0.0000 0.0000  8 Ir 2.94
Y 0.0000 0.0000 0.2482  8 Ir 3.03-3.07
Y 0.0000 0.0000 0.7518  8 Ir 3.03-3.07
Y 0.5000 0.5000 0.2518  8 Ir 3.03-3.07
Y 0.5000 0.5000 0.5000  8 Ir 2.94
Y 0.5000 0.5000 0.7482  8 Ir 3.03-3.07
Pa 0.0000 0.0000 0.5000  8 Ir 2.94
Pa 0.5000 0.5000 0.0000  8 Ir 2.94
Ir 0.0000 0.5000 0.1180  2 Pa 2.94, 6 Y 2.94-3.07, 1 Ir 3.25
Ir 0.0000 0.5000 0.3820  2 Pa 2.94, 6 Y 2.94-3.07, 1 Ir 3.25
Ir 0.0000 0.5000 0.6180  2 Pa 2.94, 6 Y 2.94-3.07, 1 Ir 3.25
Ir 0.0000 0.5000 0.8820  2 Pa 2.94, 6 Y 2.94-3.07, 1 Ir 3.25
Ir 0.5000 0.0000 0.1180  2 Pa 2.94, 6 Y 2.94-3.07, 1 Ir 3.25
Ir 0.5000 0.0000 0.3820  2 Pa 2.94, 6 Y 2.94-3.07, 1 Ir 3.25
Ir 0.5000 0.0000 0.6180  2 Pa 2.94, 6 Y 2.94-3.07, 1 Ir 3.25
Ir 0.5000 0.0000 0.8820  2 Pa 2.94, 6 Y 2.94-3.07, 1 Ir 3.25



[2]
The following is a PBE-GGA calculation of Fe2SiMo after structural relaxation, from the Alexandria database.

Results
Uncorrected formation energy, meV/atom: -155.5

Cell: 5.8487 5.8487 5.8487 Å, 90.00 90.00 90.00°
With the nearest neighbours (Å) after each atom.
Fractional coordinates of all 16 atoms:
Fe 0.0000 0.0000 0.0000  4 Fe 2.53, 4 Mo 2.53
Fe 0.0000 0.5000 0.5000  4 Mo 2.53, 4 Fe 2.53
Fe 0.2500 0.2500 0.2500  4 Fe 2.53, 4 Si 2.53
Fe 0.2500 0.7500 0.7500  4 Fe 2.53, 4 Si 2.53
Fe 0.5000 0.0000 0.5000  4 Mo 2.53, 4 Fe 2.53
Fe 0.5000 0.5000 0.0000  4 Mo 2.53, 4 Fe 2.53
Fe 0.7500 0.2500 0.7500  4 Fe 2.53, 4 Si 2.53
Fe 0.7500 0.7500 0.2500  4 Fe 2.53, 4 Si 2.53
Si 0.0000 0.0000 0.5000  4 Mo 2.53, 4 Fe 2.53
Si 0.0000 0.5000 0.0000  4 Mo 2.53, 4 Fe 2.53
Si 0.5000 0.0000 0.0000  4 Mo 2.53, 4 Fe 2.53
Si 0.5000 0.5000 0.5000  4 Mo 2.53, 4 Fe 2.53
Mo 0.2500 0.2500 0.7500  4 Fe 2.53, 4 Si 2.53
Mo 0.2500 0.7500 0.2500  4 Fe 2.53, 4 Si 2.53
Mo 0.7500 0.2500 0.2500  4 Fe 2.53, 4 Si 2.53
Mo 0.7500 0.7500 0.7500  4 Fe 2.53, 4 Si 2.53



[3]
The following is a PBE-GGA calculation of HfSi2GeP after structural relaxation, from the Alexandria database.

Results
Uncorrected formation energy, meV/atom: 771.7

Cell: 5.0781 5.0781 4.8975 Å, 90.00 90.00 90.00°
With the nearest neighbours (Å) after each atom.
Fractional coordinates of all 5 atoms:
Hf 0.0000 0.0000 0.0000  2 P 2.45, 4 Si 2.54
Si 0.0000 0.5000 0.0000  2 Hf 2.54
Si 0.5000 0.0000 0.0000  2 Hf 2.54
Ge 0.5000 0.5000 0.5000  8 Si 3.53, 4 P 3.59
P 0.0000 0.0000 0.5000  2 Hf 2.45



[4]
The following is a PBE-GGA calculation of Zn2SiGe after structural relaxation, from the Alexandria database.

Results
Uncorrected formation energy, meV/atom: 353.6
Offset from the most stable computed form, meV/atom: 30

Cell: 6.4520 6.4520 6.4520 Å, 90.00 90.00 90.00°
With the nearest neighbours (Å) after each atom.
Fractional coordinates of all 16 atoms:
Zn 0.2500 0.2500 0.2500  4 Ge 2.79, 4 Si 2.79
Zn 0.2500 0.2500 0.7500  4 Si 2.79, 4 Ge 2.79
Zn 0.2500 0.7500 0.2500  4 Si 2.79, 4 Ge 2.79
Zn 0.2500 0.7500 0.7500  4 Ge 2.79, 4 Si 2.79
Zn 0.7500 0.2500 0.2500  4 Si 2.79, 4 Ge 2.79
Zn 0.7500 0.2500 0.7500  4 Ge 2.79, 4 Si 2.79
Zn 0.7500 0.7500 0.2500  4 Ge 2.79, 4 Si 2.79
Zn 0.7500 0.7500 0.7500  4 Si 2.79, 4 Ge 2.79
Si 0.0000 0.0000 0.0000  8 Zn 2.79
Si 0.0000 0.5000 0.5000  8 Zn 2.79
Si 0.5000 0.0000 0.5000  8 Zn 2.79
Si 0.5000 0.5000 0.0000  8 Zn 2.79
Ge 0.0000 0.0000 0.5000  8 Zn 2.79
Ge 0.0000 0.5000 0.0000  8 Zn 2.79
Ge 0.5000 0.0000 0.0000  8 Zn 2.79
Ge 0.5000 0.5000 0.5000  8 Zn 2.79



[5]
The following is a PBE-GGA calculation of PBr after structural relaxation, from the Alexandria database.

Results
Uncorrected formation energy, meV/atom: 1198.5
Offset from the most stable computed form, meV/atom: 1328

Cell: 6.3569 6.3569 6.3569 Å, 90.00 90.00 90.00°
With the nearest neighbours (Å) after each atom.
Fractional coordinates of all 8 atoms:
P 0.0000 0.0000 0.0000  4 Br 2.75
P 0.0000 0.5000 0.5000  4 Br 2.75
P 0.5000 0.0000 0.5000  4 Br 2.75
P 0.5000 0.5000 0.0000  4 Br 2.75
Br 0.2500 0.2500 0.7500  4 P 2.75
Br 0.2500 0.7500 0.2500  4 P 2.75
Br 0.7500 0.2500 0.2500  4 P 2.75
Br 0.7500 0.7500 0.7500  4 P 2.75



[6]
The following is a PBE-GGA calculation of PaAs2Pb after structural relaxation, from the Alexandria database.

Results
Formation enthalpy at 0 K, eV/atom: -0.499
Offset from the most stable computed form, meV/atom: 0

Cell: 3.7864 3.7864 6.6385 Å, 90.00 90.00 90.00°
With the nearest neighbours (Å) after each atom.
Fractional coordinates of all 4 atoms:
Pa 0.0000 0.0000 0.0000  8 As 3.01, 2 Pb 3.32
As 0.5000 0.5000 0.2060  1 As 2.74, 4 Pa 3.01
As 0.5000 0.5000 0.7940  1 As 2.74, 4 Pa 3.01
Pb 0.0000 0.0000 0.5000  8 As 3.31, 2 Pa 3.32



[7]
The following is a PBE-GGA calculation of ZrSiRh2 after structural relaxation, from the Alexandria database.

Results
Uncorrected formation energy, meV/atom: -663.5

Cell: 3.2104 3.3911 5.7868 Å, 90.00 90.00 90.00°
With the nearest neighbours (Å) after each atom.
Fractional coordinates of all 4 atoms:
Zr 0.0000 0.0000 0.0000  8 Rh 2.81, 2 Si 2.89
Si 0.0000 0.0000 0.5000  8 Rh 2.69, 2 Zr 2.89
Rh 0.5000 0.5000 0.2695  1 Rh 2.67, 4 Si 2.69, 4 Zr 2.81
Rh 0.5000 0.5000 0.7305  1 Rh 2.67, 4 Si 2.69, 4 Zr 2.81



[8]
The following is a PBE-GGA calculation of HoTmBi2O6 after structural relaxation, from the Alexandria database.

Results
Uncorrected formation energy, meV/atom: -2404.2

Cell: 6.1226 6.1226 6.1226 Å, 58.52 58.52 58.52°
With the nearest neighbours (Å) after each atom.
Fractional coordinates of all 10 atoms:
Ho 0.0000 0.0000 0.0000  6 O 2.22-2.34
Tm 0.4988 0.4988 0.4988  6 O 2.21-2.31
Bi 0.2859 0.2859 0.2859  6 O 2.32-2.53
Bi 0.7863 0.7863 0.7863  6 O 2.32-2.52
O 0.1362 0.6878 0.3543  1 Ho 2.22, 1 Tm 2.31, 1 Bi 2.32
O 0.1914 0.6346 0.8504  1 Tm 2.21, 1 Bi 2.32, 1 Ho 2.34
O 0.3543 0.1362 0.6878  1 Ho 2.22, 1 Tm 2.31, 1 Bi 2.32
O 0.6346 0.8504 0.1914  1 Tm 2.21, 1 Bi 2.32, 1 Ho 2.34
O 0.6878 0.3543 0.1362  1 Ho 2.22, 1 Tm 2.31, 1 Bi 2.32
O 0.8504 0.1914 0.6346  1 Tm 2.21, 1 Bi 2.32, 1 Ho 2.34



[9]
The following is a PBE-GGA calculation of ZnCr2Tc after structural relaxation, from the Alexandria database.

Results
Formation enthalpy at 0 K, eV/atom: 0.120

Cell: 2.9587 2.9587 6.1443 Å, 90.00 90.00 90.00°
With the nearest neighbours (Å) after each atom.
Fractional coordinates of all 4 atoms:
Zn 0.0000 0.0000 0.0000  4 Cr 2.63, 4 Tc 2.70
Cr 0.0000 0.0000 0.4885  4 Cr 2.52, 4 Tc 2.54
Cr 0.5000 0.5000 0.2601  4 Cr 2.52, 4 Zn 2.63
Tc 0.5000 0.5000 0.7230  5 Cr 2.54-2.84, 4 Zn 2.70



[10]
The following is a PBE-GGA calculation of ZrCu after structural relaxation, from the Alexandria database.

Results
Formation enthalpy at 0 K, eV/atom: 0.055

Cell: 4.1668 4.1668 14.9274 Å, 90.00 90.00 120.00°
With the nearest neighbours (Å) after each atom.
Fractional coordinates of all 12 atoms:
Zr 0.0000 0.0000 0.0964  6 Cu 2.71-2.90, 1 Zr 2.88
Zr 0.0000 0.0000 0.9036  6 Cu 2.71-2.90, 1 Zr 2.88
Zr 0.3333 0.6667 0.2370  6 Cu 2.71-2.90, 1 Zr 2.88
Zr 0.3333 0.6667 0.4298  6 Cu 2.71-2.90, 1 Zr 2.88
Zr 0.6667 0.3333 0.5702  6 Cu 2.71-2.90, 1 Zr 2.88
Zr 0.6667 0.3333 0.7630  6 Cu 2.71-2.90, 1 Zr 2.88
Cu 0.0000 0.0000 0.3212  3 Cu 2.43, 3 Zr 2.71
Cu 0.0000 0.0000 0.6788  3 Cu 2.43, 3 Zr 2.71
Cu 0.3333 0.6667 0.0126  3 Cu 2.43, 3 Zr 2.71
Cu 0.3333 0.6667 0.6539  3 Cu 2.43, 3 Zr 2.71
Cu 0.6667 0.3333 0.3461  3 Cu 2.43, 3 Zr 2.71
Cu 0.6667 0.3333 0.9874  3 Cu 2.43, 3 Zr 2.71



[11]
The following is a PBE-GGA calculation of NaHf2OsI after structural relaxation, from the Alexandria database.

Results
Uncorrected formation energy, meV/atom: 1545.6

Cell: 5.2430 5.2430 4.9003 Å, 90.00 90.00 90.00°
With the nearest neighbours (Å) after each atom.
Fractional coordinates of all 5 atoms:
Na 0.0000 0.0000 0.0000  8 Hf 3.59, 4 Os 3.71
Hf 0.0000 0.5000 0.5000  2 I 2.62
Hf 0.5000 0.0000 0.5000  2 I 2.62
Os 0.5000 0.5000 0.0000  2 I 2.45
I 0.5000 0.5000 0.5000  2 Os 2.45, 4 Hf 2.62



[12]
The following is a PBE-GGA calculation of Li2TaOs after structural relaxation, from the Alexandria database.

Results
Formation enthalpy at 0 K, eV/atom: 0.148
Offset from the most stable computed form, meV/atom: 18

Cell: 3.1615 4.1070 4.7710 Å, 90.00 90.00 90.00°
With the nearest neighbours (Å) after each atom.
Fractional coordinates of all 4 atoms:
Li 0.0000 0.0000 0.0000  4 Li 2.59, 4 Os 2.86
Li 0.5000 0.5000 0.0000  4 Li 2.59, 4 Ta 2.86
Ta 0.0000 0.5000 0.5000  4 Os 2.59, 4 Li 2.86
Os 0.5000 0.0000 0.5000  4 Ta 2.59, 4 Li 2.86



no.,DOS at the Fermi energy (states/eV/f.u.)
1,4.4
2,2.5
3,3.7
4,1.8
5,2.0
6,3.0
7,2.1
8,0.0
9,2.3
10,1.1
11,8.6
12,3.1